Ti3BiH after structural relaxation, computed with GGA-PBE.

Cell and atoms, written as extended XYZ:
```
10
Lattice="-2.016 3.951 -1.757 -2.510 -2.897 2.841 2.531 4.183 6.502" Properties=species:S:1:pos:R:3 pbc="T T T"
H 0.000 0.000 0.000
H 1.266 2.091 3.251
Bi -0.446 2.523 6.185
Bi -1.547 2.714 1.401
Ti 0.633 1.046 1.625
Ti 1.899 3.137 4.876
Ti -2.115 -0.234 1.899
Ti -1.309 1.097 3.969
Ti -0.685 4.140 3.617
Ti 0.121 5.471 5.687
```

Results
SG: P6_3/mmc
DOS(E_F): 0.303 states/eV/atom
DFT total energy: -6.0660 eV/atom
Magnetization: 0.0 μB per formula unit
Calculated density: 7.322 Mg/m³
Energy above the most stable polymorph in this dataset: 365 meV/atom